Version 1
Compound: ZrCr2Au
Source: Alexandria via LeMat-Bulk
Functional: PBE-GGA
Structure: relaxed

Lattice parameters (Å, degrees): 4.143 4.143 3.907 90.00 90.00 90.00
Sites, in units of the cell vectors:
Zr1 0.000 0.000 0.000
Cr1 0.000 0.500 0.500
Cr2 0.500 0.000 0.500
Au1 0.500 0.500 0.000

Summary:
calculated density	9.71	g/cm3
D(E_F)	4.4	states/eV/f.u.
total moment	1.329	μB per atom

Version 2
Compound: ZrCr2Au
Source: Alexandria via LeMat-Bulk
Functional: PBE-GGA
Structure: relaxed

Lattice parameters (Å, degrees): 5.103 5.103 4.769 112.45 112.45 36.82
Sites, in units of the cell vectors:
Zr1 0.000 0.000 0.000
Cr1 0.249 0.249 0.663
Cr2 0.751 0.751 0.337
Au1 0.500 0.500 0.500

Summary:
calculated density	9.56	g/cm3
D(E_F)	5.8	states/eV/f.u.
total moment	0.000	μB per atom

Q: Which of them is the least stable? A: version 2.

Version 1
Compound: ZrCr2Au
Source: Alexandria via LeMat-Bulk
Functional: PBE-GGA
Structure: relaxed

Lattice parameters (Å, degrees): 8.799 8.799 8.799 19.33 19.33 19.33
Sites, in units of the cell vectors:
Zr1 0.000 0.000 0.000
Cr1 0.483 0.483 0.483
Cr2 0.758 0.758 0.758
Au1 0.237 0.237 0.237

Summary:
calculated density	9.98	g/cm3
D(E_F)	4.3	states/eV/f.u.
total moment	0.000	μB per atom

Version 2
Compound: ZrCr2Au
Source: Alexandria via LeMat-Bulk
Functional: PBE-GGA
Structure: relaxed

Lattice parameters (Å, degrees): 3.324 3.324 6.337 90.00 90.00 90.00
Sites, in units of the cell vectors:
Zr1 0.000 0.000 0.000
Cr1 0.500 0.500 0.263
Cr2 0.500 0.500 0.737
Au1 0.000 0.000 0.500

Summary:
calculated density	9.30	g/cm3
D(E_F)	3.1	states/eV/f.u.
total moment	1.600	μB per atom

Q: Which of them is the least stable? A: version 1.

Version 1
Compound: ZrCr3Au
Source: Alexandria via LeMat-Bulk
Functional: PBE-GGA
Structure: relaxed

Lattice parameters (Å, degrees): 4.488 4.488 4.488 90.00 90.00 90.00
Sites, in units of the cell vectors:
Zr1 0.000 0.000 0.000
Cr1 0.000 0.000 0.500
Cr2 0.000 0.500 0.000
Cr3 0.500 0.000 0.000
Au1 0.500 0.500 0.500

Summary:
calculated density	8.16	g/cm3
D(E_F)	9.7	states/eV/f.u.
total moment	0.001	μB per atom

Version 2
Compound: ZrCr3Au
Source: Alexandria via LeMat-Bulk
Functional: PBE-GGA
Structure: relaxed

Lattice parameters (Å, degrees): 4.869 4.869 4.869 90.00 90.00 90.00
Sites, in units of the cell vectors:
Zr1 0.000 0.000 0.000
Cr1 0.000 0.500 0.500
Cr2 0.500 0.000 0.500
Cr3 0.500 0.500 0.000
Au1 0.500 0.500 0.500

Summary:
calculated density	6.39	g/cm3
D(E_F)	6.4	states/eV/f.u.
total moment	2.130	μB per atom

Q: Which of them is the least stable? A: version 1.

Version 1
Compound: ZrCrAu2
Source: Alexandria via LeMat-Bulk
Functional: PBE-GGA
Structure: relaxed

Lattice parameters (Å, degrees): 3.073 3.511 6.847 90.00 90.00 90.00
Sites, in units of the cell vectors:
Zr1 0.000 0.000 0.000
Cr1 0.000 0.000 0.500
Au1 0.500 0.500 0.270
Au2 0.500 0.500 0.730

Summary:
calculated density	12.08	g/cm3
D(E_F)	2.5	states/eV/f.u.
total moment	1.009	μB per atom

Version 2
Compound: ZrCrAu2
Source: Alexandria via LeMat-Bulk
Functional: PBE-GGA
Structure: relaxed

Lattice parameters (Å, degrees): 10.182 10.182 10.182 157.41 157.41 32.16
Sites, in units of the cell vectors:
Zr1 0.000 0.000 0.000
Zr2 0.750 0.250 0.500
Cr1 0.250 0.750 0.500
Cr2 0.500 0.500 0.000
Au1 0.137 0.625 0.012
Au2 0.375 0.387 0.512
Au3 0.613 0.125 0.988
Au4 0.875 0.863 0.488

Summary:
calculated density	11.46	g/cm3
D(E_F)	3.4	states/eV/f.u.
total moment	0.725	μB per atom

Q: Which of them is the least stable? A: version 2.